No. 1
A plane-wave DFT calculation with PBE was carried out for an optimized crystal structure of Pr2Ho2Tm.

abc: 6.218 3.590 14.677
angles: 90.00 90.12 90.00
Space group C2/m (No. 12)
Inequivalent atoms, fractional coordinates:
Pr1 0.168 0.000 0.393 (multiplicity 4)
Ho1 0.166 0.000 0.808 (multiplicity 4)
Tm1 0.000 0.500 0.000 (multiplicity 2)

## Properties
energy: -0.33857 Ry/atom
total magnetic moment: 0.00 μB/cell
energy above the lowest structure with this stoichiometry: 0.000 eV/atom
ρ: 7.9 g/cm³

***

No. 2
A plane-wave DFT calculation with PBE was carried out for an optimized crystal structure of Pr11Ho4Tm9.

abc: 16.967 25.726 3.664
angles: 90.00 90.00 90.00
Space group Cmmm (No. 65)
Inequivalent atoms, fractional coordinates:
Pr1 0.000 0.000 0.000 (multiplicity 2)
Pr2 0.000 0.160 0.000 (multiplicity 4)
Pr3 0.000 0.368 0.000 (multiplicity 4)
Pr4 0.208 0.500 0.000 (multiplicity 4)
Pr5 0.224 0.181 0.000 (multiplicity 8)
Ho1 0.157 0.398 0.500 (multiplicity 8)
Tm1 0.000 0.500 0.500 (multiplicity 2)
Tm2 0.102 0.268 0.500 (multiplicity 8)
Tm3 0.141 0.073 0.500 (multiplicity 8)

## Properties
energy: -0.33607 Ry/atom
total magnetic moment: 0.00 μB/cell
ρ: 7.7 g/cm³

***

No. 3
A plane-wave DFT calculation with PBE was carried out for an optimized crystal structure of Pr5HoTm5.

abc: 18.969 5.974 7.069
angles: 90.00 111.78 90.00
Space group C2/m (No. 12)
Inequivalent atoms, fractional coordinates:
Pr1 0.000 0.000 0.000 (multiplicity 2)
Pr2 0.176 0.500 0.420 (multiplicity 4)
Pr3 0.176 0.500 0.932 (multiplicity 4)
Ho1 0.000 0.500 0.000 (multiplicity 2)
Tm1 0.000 0.500 0.500 (multiplicity 2)
Tm2 0.120 0.000 0.621 (multiplicity 4)
Tm3 0.168 0.000 0.169 (multiplicity 4)

## Properties
energy: -0.32020 Ry/atom
total magnetic moment: 0.83 μB/cell
ρ: 7.7 g/cm³

***

No. 4
A plane-wave DFT calculation with PBE was carried out for an optimized crystal structure of PrHo4Tm6.

abc: 5.590 9.650 25.452
angles: 90.00 90.00 90.00
Space group Cmcm (No. 63)
Inequivalent atoms, fractional coordinates:
Pr1 0.000 0.170 0.250 (multiplicity 4)
Ho1 0.000 0.166 0.541 (multiplicity 8)
Ho2 0.000 0.497 0.621 (multiplicity 8)
Tm1 0.000 0.164 0.680 (multiplicity 8)
Tm2 0.000 0.169 0.101 (multiplicity 8)
Tm3 0.000 0.497 0.750 (multiplicity 4)
Tm4 0.000 0.500 0.000 (multiplicity 4)

## Properties
energy: -0.32475 Ry/atom
total magnetic moment: 0.00 μB/cell
energy above the lowest structure with this stoichiometry: 0.000 eV/atom
ρ: 8.8 g/cm³

***

No. 5
A plane-wave DFT calculation with PBE was carried out for an optimized crystal structure of Pr3Ho2Tm4.

abc: 16.628 11.680 6.026
angles: 90.00 97.94 90.00
Space group C2/c (No. 15)
Inequivalent atoms, fractional coordinates:
Pr1 0.000 0.109 0.250 (multiplicity 4)
Pr2 0.166 0.392 0.085 (multiplicity 8)
Ho1 0.117 0.130 0.810 (multiplicity 8)
Tm1 0.050 0.370 0.523 (multiplicity 8)
Tm2 0.218 0.132 0.354 (multiplicity 8)

## Properties
energy: -0.33023 Ry/atom
total magnetic moment: 0.00 μB/cell
energy above the lowest structure with this stoichiometry: 0.017 eV/atom
ρ: 8.2 g/cm³

***

No. 6
A plane-wave DFT calculation with PBE was carried out for an optimized crystal structure of Pr2HoTm5.

abc: 5.039 5.039 19.953
angles: 90.00 90.00 90.00
Space group I4/mmm (No. 139)
Inequivalent atoms, fractional coordinates:
Pr1 0.000 0.000 0.250 (multiplicity 4)
Ho1 0.000 0.000 0.000 (multiplicity 2)
Tm1 0.000 0.000 0.500 (multiplicity 2)
Tm2 0.000 0.500 0.122 (multiplicity 8)

## Properties
energy: -0.33297 Ry/atom
total magnetic moment: 0.00 μB/cell
energy above the lowest structure with this stoichiometry: 0.002 eV/atom
ρ: 8.5 g/cm³